First-principles (GGA-PBE) data for a geometry-optimized Ca2MoSe structure, as listed in the Alexandria database.

Computed properties:
Uncorrected energy in eV per cell: -16.9
Calculated density in g cm⁻³: 4.83
Total magnetization in μB/f.u.: 2.1
ΔE_f (raw) in eV per atom: 0.35

a = 4.987 Å, b = 4.987 Å, c = 4.987 Å
α = 60.00°, β = 60.00°, γ = 60.00°
Element x y z (fractional)
Ca: 0.000 0.000 0.000
Ca: 0.250 0.250 0.250
Mo: 0.500 0.500 0.500
Se: 0.750 0.750 0.750

***

First-principles (GGA-PBE) data for a geometry-optimized Ca2MoSe structure, as listed in the Alexandria database.

Computed properties:
Uncorrected energy in eV per cell: -18.8
Calculated density in g cm⁻³: 4.40
Total magnetization in μB/f.u.: 0.0
ΔE_f (raw) in eV per atom: -0.11

a = 6.299 Å, b = 6.299 Å, c = 6.299 Å
α = 148.81°, β = 131.44°, γ = 58.85°
Element x y z (fractional)
Se: 0.275 0.775 0.500
Ca: 0.739 0.239 0.500
Mo: 0.445 0.445 0.000
Ca: 0.041 0.041 0.000

***

First-principles (GGA-PBE) data for a geometry-optimized Ca2MoSe structure, as listed in the Alexandria database.

Computed properties:
Uncorrected energy in eV per cell: -35.4
Calculated density in g cm⁻³: 3.37
Total magnetization in μB/f.u.: 1.7
ΔE_f (raw) in eV per atom: 0.15

a = 10.246 Å, b = 10.246 Å, c = 7.631 Å
α = 47.83°, β = 47.83°, γ = 90.00°
Element x y z (fractional)
Se: 0.250 0.750 0.500
Mo: 0.750 0.250 0.500
Ca: 0.875 0.733 0.750
Ca: 0.267 0.625 0.250
Mo: 0.000 0.000 0.000
Se: 0.500 0.500 0.000
Ca: 0.375 0.517 0.750
Ca: 0.483 0.125 0.250

***

First-principles (GGA-PBE) data for a geometry-optimized CaMo6Se8 structure, as listed in the Alexandria database.

Computed properties:
Uncorrected energy in eV per cell: -105.5
Calculated density in g cm⁻³: 6.49
Total magnetization in μB/f.u.: 0.0
ΔE_f (raw) in eV per atom: -0.71

a = 6.834 Å, b = 6.834 Å, c = 6.834 Å
α = 89.42°, β = 89.42°, γ = 89.42°
Element x y z (fractional)
Se: 0.375 0.124 0.749
Mo: 0.764 0.577 0.442
Se: 0.749 0.375 0.124
Mo: 0.236 0.423 0.558
Mo: 0.423 0.558 0.236
Mo: 0.577 0.442 0.764
Se: 0.761 0.761 0.761
Mo: 0.442 0.764 0.577
Se: 0.124 0.749 0.375
Se: 0.876 0.251 0.625
Mo: 0.558 0.236 0.423
Se: 0.625 0.876 0.251
Ca: 0.000 0.000 0.000
Se: 0.251 0.625 0.876
Se: 0.239 0.239 0.239

***

First-principles (GGA-PBE) data for a geometry-optimized Ca2MoSe structure, as listed in the Alexandria database.

Computed properties:
Uncorrected energy in eV per cell: -18.8
Calculated density in g cm⁻³: 4.24
Total magnetization in μB/f.u.: 0.0
ΔE_f (raw) in eV per atom: -0.13

a = 3.414 Å, b = 3.414 Å, c = 8.573 Å
α = 90.00°, β = 90.00°, γ = 90.00°
Element x y z (fractional)
Mo: 0.000 0.000 0.568
Ca: 0.500 0.500 0.313
Se: 0.500 0.500 0.689
Ca: 0.000 0.000 0.929

***

First-principles (GGA-PBE) data for a geometry-optimized CaMo2Se structure, as listed in the Alexandria database.

Computed properties:
Uncorrected energy in eV per cell: -25.0
Calculated density in g cm⁻³: 6.77
Total magnetization in μB/f.u.: 0.0
ΔE_f (raw) in eV per atom: 0.53

a = 9.227 Å, b = 9.227 Å, c = 9.227 Å
α = 19.47°, β = 19.47°, γ = 19.47°
Element x y z (fractional)
Ca: 0.750 0.750 0.750
Mo: 0.986 0.986 0.986
Se: 0.250 0.250 0.250
Mo: 0.514 0.514 0.514

***

First-principles (GGA-PBE) data for a geometry-optimized CaMo2Se structure, as listed in the Alexandria database.

Computed properties:
Uncorrected energy in eV per cell: -25.7
Calculated density in g cm⁻³: 7.16
Total magnetization in μB/f.u.: 0.0
ΔE_f (raw) in eV per atom: 0.37

a = 4.672 Å, b = 4.672 Å, c = 4.672 Å
α = 60.00°, β = 60.00°, γ = 60.00°
Element x y z (fractional)
Se: 0.750 0.750 0.750
Mo: 0.250 0.250 0.250
Mo: 0.000 0.000 0.000
Ca: 0.500 0.500 0.500

***

First-principles (GGA-PBE) data for a geometry-optimized Ca3MoSe structure, as listed in the Alexandria database.

Computed properties:
Uncorrected energy in eV per cell: -17.9
Distance to the lowest polymorph of the same formula in kJ per mole of atoms: 37.2
Calculated density in g cm⁻³: 3.23
Total magnetization in μB/f.u.: 0.0
ΔE_f (raw) in eV per atom: 0.49

a = 5.335 Å, b = 5.335 Å, c = 5.335 Å
α = 90.00°, β = 90.00°, γ = 90.00°
Element x y z (fractional)
Mo: 0.000 0.000 0.000
Ca: 0.500 0.000 0.000
Ca: 0.000 0.000 0.500
Se: 0.500 0.500 0.500
Ca: 0.000 0.500 0.000

***

First-principles (GGA-PBE) data for a geometry-optimized CaMo2Se structure, as listed in the Alexandria database.

Computed properties:
Uncorrected energy in eV per cell: -27.4
Calculated density in g cm⁻³: 6.23
Total magnetization in μB/f.u.: 0.0
ΔE_f (raw) in eV per atom: -0.07

a = 3.262 Å, b = 3.486 Å, c = 7.496 Å
α = 76.61°, β = 90.00°, γ = 90.00°
Element x y z (fractional)
Mo: 0.500 0.455 0.214
Se: 0.000 0.314 0.496
Mo: 0.000 0.034 0.060
Ca: 0.500 0.697 0.731

***

First-principles (GGA-PBE) data for a geometry-optimized CaMo2Se structure, as listed in the Alexandria database.

Computed properties:
Uncorrected energy in eV per cell: -26.7
Calculated density in g cm⁻³: 6.17
Total magnetization in μB/f.u.: 0.2
ΔE_f (raw) in eV per atom: 0.11

a = 8.473 Å, b = 8.473 Å, c = 8.473 Å
α = 23.32°, β = 23.32°, γ = 23.32°
Element x y z (fractional)
Se: 0.510 0.510 0.510
Mo: 0.251 0.251 0.251
Ca: 0.756 0.756 0.756
Mo: 0.983 0.983 0.983

***

First-principles (GGA-PBE) data for a geometry-optimized Ca2MoSe structure, as listed in the Alexandria database.

Computed properties:
Uncorrected energy in eV per cell: -18.7
Calculated density in g cm⁻³: 4.45
Total magnetization in μB/f.u.: 1.4
ΔE_f (raw) in eV per atom: -0.10

a = 3.464 Å, b = 3.464 Å, c = 7.938 Å
α = 90.00°, β = 90.00°, γ = 90.00°
Element x y z (fractional)
Mo: 0.500 0.500 0.250
Ca: 0.000 0.000 0.528
Ca: 0.000 0.000 0.972
Se: 0.500 0.500 0.750

***

First-principles (GGA-PBE) data for a geometry-optimized Ca2MoSe structure, as listed in the Alexandria database.

Computed properties:
Uncorrected energy in eV per cell: -17.4
Calculated density in g cm⁻³: 4.40
Total magnetization in μB/f.u.: 2.4
ΔE_f (raw) in eV per atom: 0.24

a = 5.761 Å, b = 5.761 Å, c = 5.761 Å
α = 140.67°, β = 126.06°, γ = 68.77°
Element x y z (fractional)
Mo: 0.750 0.250 0.500
Ca: 0.478 0.478 0.000
Se: 0.250 0.750 0.500
Ca: 0.022 0.022 0.000

***

First-principles (GGA-PBE) data for a geometry-optimized CaMoSe3 structure, as listed in the Alexandria database.

Computed properties:
Uncorrected energy in eV per cell: -25.9
Distance to the lowest polymorph of the same formula in kJ per mole of atoms: 0.0
Calculated density in g cm⁻³: 4.95
Total magnetization in μB/f.u.: 0.0
ΔE_f (raw) in eV per atom: -0.53

a = 5.001 Å, b = 5.001 Å, c = 5.001 Å
α = 90.00°, β = 90.00°, γ = 90.00°
Element x y z (fractional)
Se: 0.000 0.500 0.000
Se: 0.000 0.000 0.500
Se: 0.500 0.000 0.000
Ca: 0.500 0.500 0.500
Mo: 0.000 0.000 0.000

***

First-principles (GGA-PBE) data for a geometry-optimized CaMo2Se structure, as listed in the Alexandria database.

Computed properties:
Uncorrected energy in eV per cell: -26.7
Calculated density in g cm⁻³: 6.05
Total magnetization in μB/f.u.: 0.0
ΔE_f (raw) in eV per atom: 0.11

a = 4.502 Å, b = 4.502 Å, c = 6.212 Å
α = 79.30°, β = 79.30°, γ = 43.74°
Element x y z (fractional)
Ca: 0.755 0.755 0.735
Mo: 0.251 0.251 0.234
Mo: 0.981 0.981 0.100
Se: 0.513 0.513 0.431

***

First-principles (GGA-PBE) data for a geometry-optimized Ca2MoSe structure, as listed in the Alexandria database.

Computed properties:
Uncorrected energy in eV per cell: -18.4
Calculated density in g cm⁻³: 4.09
Total magnetization in μB/f.u.: 2.5
ΔE_f (raw) in eV per atom: -0.03

a = 3.747 Å, b = 3.747 Å, c = 8.780 Å
α = 77.82°, β = 77.82°, γ = 59.95°
Element x y z (fractional)
Mo: 0.750 0.750 0.750
Ca: 0.989 0.989 0.031
Se: 0.250 0.250 0.250
Ca: 0.511 0.511 0.469

***

First-principles (GGA-PBE) data for a geometry-optimized CaMo2Se structure, as listed in the Alexandria database.

Computed properties:
Uncorrected energy in eV per cell: -26.5
Calculated density in g cm⁻³: 6.31
Total magnetization in μB/f.u.: 0.0
ΔE_f (raw) in eV per atom: 0.17

a = 5.985 Å, b = 5.985 Å, c = 4.614 Å
α = 72.21°, β = 72.21°, γ = 31.47°
Element x y z (fractional)
Ca: 0.750 0.750 0.750
Se: 0.250 0.250 0.250
Mo: 0.535 0.535 0.402
Mo: 0.965 0.965 0.098

***

First-principles (GGA-PBE) data for a geometry-optimized CaMo2Se structure, as listed in the Alexandria database.

Computed properties:
Uncorrected energy in eV per cell: -26.0
Calculated density in g cm⁻³: 6.76
Total magnetization in μB/f.u.: 0.0
ΔE_f (raw) in eV per atom: 0.29

a = 5.231 Å, b = 3.821 Å, c = 3.821 Å
α = 90.00°, β = 90.00°, γ = 90.00°
Element x y z (fractional)
Mo: 0.000 0.000 0.000
Ca: 0.500 0.000 0.500
Mo: 0.000 0.500 0.500
Se: 0.500 0.500 0.000

***

First-principles (GGA-PBE) data for a geometry-optimized Ca3MoSe structure, as listed in the Alexandria database.

Computed properties:
Uncorrected energy in eV per cell: -19.8
Distance to the lowest polymorph of the same formula in kJ per mole of atoms: 0.0
Calculated density in g cm⁻³: 2.88
Total magnetization in μB/f.u.: 4.0
ΔE_f (raw) in eV per atom: 0.11

a = 5.543 Å, b = 5.543 Å, c = 5.543 Å
α = 90.00°, β = 90.00°, γ = 90.00°
Element x y z (fractional)
Ca: 0.500 0.000 0.000
Mo: 0.500 0.500 0.500
Ca: 0.000 0.500 0.000
Se: 0.000 0.000 0.000
Ca: 0.000 0.000 0.500

***

First-principles (GGA-PBE) data for a geometry-optimized CaMo2Se structure, as listed in the Alexandria database.

Computed properties:
Uncorrected energy in eV per cell: -24.5
Calculated density in g cm⁻³: 6.89
Total magnetization in μB/f.u.: 0.0
ΔE_f (raw) in eV per atom: 0.66

a = 5.387 Å, b = 5.387 Å, c = 2.985 Å
α = 90.00°, β = 90.00°, γ = 120.16°
Element x y z (fractional)
Ca: 0.000 0.500 0.500
Mo: 0.500 0.500 0.000
Se: 0.500 0.000 0.500
Mo: 0.000 0.000 0.000

***

First-principles (GGA-PBE) data for a geometry-optimized CaMo2Se structure, as listed in the Alexandria database.

Computed properties:
Uncorrected energy in eV per cell: -51.9
Calculated density in g cm⁻³: 6.38
Total magnetization in μB/f.u.: 0.0
ΔE_f (raw) in eV per atom: 0.30

a = 3.893 Å, b = 3.893 Å, c = 11.025 Å
α = 79.83°, β = 79.83°, γ = 90.00°
Element x y z (fractional)
Se: 0.000 0.000 0.000
Ca: 0.500 0.500 0.000
Se: 0.750 0.250 0.500
Mo: 0.375 0.326 0.750
Mo: 0.076 0.625 0.250
Ca: 0.250 0.750 0.500
Mo: 0.674 0.125 0.250
Mo: 0.875 0.924 0.750

***

First-principles (GGA-PBE) data for a geometry-optimized CaMo2Se structure, as listed in the Alexandria database.

Computed properties:
Uncorrected energy in eV per cell: -26.1
Calculated density in g cm⁻³: 5.94
Total magnetization in μB/f.u.: 0.0
ΔE_f (raw) in eV per atom: 0.27

a = 5.797 Å, b = 3.409 Å, c = 4.400 Å
α = 91.82°, β = 90.00°, γ = 90.00°
Element x y z (fractional)
Mo: 0.000 0.476 0.559
Mo: 0.000 0.024 0.941
Se: 0.500 0.250 0.250
Ca: 0.500 0.750 0.750

***

First-principles (GGA-PBE) data for a geometry-optimized CaMo2Se structure, as listed in the Alexandria database.

Computed properties:
Uncorrected energy in eV per cell: -25.1
Calculated density in g cm⁻³: 6.55
Total magnetization in μB/f.u.: 0.0
ΔE_f (raw) in eV per atom: 0.52

a = 3.510 Å, b = 3.510 Å, c = 6.400 Å
α = 90.00°, β = 90.00°, γ = 90.00°
Element x y z (fractional)
Mo: 0.000 0.000 0.434
Se: 0.500 0.500 0.250
Mo: 0.000 0.000 0.066
Ca: 0.500 0.500 0.750

***

First-principles (GGA-PBE) data for a geometry-optimized Ca2MoSe structure, as listed in the Alexandria database.

Computed properties:
Uncorrected energy in eV per cell: -17.9
Calculated density in g cm⁻³: 4.11
Total magnetization in μB/f.u.: 3.8
ΔE_f (raw) in eV per atom: 0.11

a = 6.345 Å, b = 6.345 Å, c = 6.345 Å
α = 140.39°, β = 140.39°, γ = 57.27°
Element x y z (fractional)
Ca: 0.250 0.750 0.500
Se: 0.750 0.250 0.500
Mo: 0.500 0.500 0.000
Ca: 0.000 0.000 0.000

***

First-principles (GGA-PBE) data for a geometry-optimized Ca2MoSe structure, as listed in the Alexandria database.

Computed properties:
Uncorrected energy in eV per cell: -19.0
Calculated density in g cm⁻³: 4.18
Total magnetization in μB/f.u.: 2.0
ΔE_f (raw) in eV per atom: -0.17

a = 3.734 Å, b = 4.622 Å, c = 6.298 Å
α = 68.80°, β = 90.00°, γ = 90.00°
Element x y z (fractional)
Ca: 0.500 0.280 0.318
Ca: 0.000 0.979 0.914
Se: 0.500 0.542 0.785
Mo: 0.000 0.698 0.483

***

First-principles (GGA-PBE) data for a geometry-optimized Ca2MoSe structure, as listed in the Alexandria database.

Computed properties:
Uncorrected energy in eV per cell: -18.1
Calculated density in g cm⁻³: 4.22
Total magnetization in μB/f.u.: 3.8
ΔE_f (raw) in eV per atom: 0.05

a = 5.173 Å, b = 5.180 Å, c = 3.744 Å
α = 90.00°, β = 90.00°, γ = 90.00°
Element x y z (fractional)
Ca: 0.000 0.000 0.000
Mo: 0.500 0.000 0.500
Ca: 0.500 0.500 0.000
Se: 0.000 0.500 0.500

***

First-principles (GGA-PBE) data for a geometry-optimized CaMo2Se structure, as listed in the Alexandria database.

Computed properties:
Uncorrected energy in eV per cell: -25.9
Calculated density in g cm⁻³: 6.51
Total magnetization in μB/f.u.: 0.0
ΔE_f (raw) in eV per atom: 0.32

a = 5.490 Å, b = 5.490 Å, c = 5.490 Å
α = 144.40°, β = 123.29°, γ = 68.78°
Element x y z (fractional)
Se: 0.524 0.524 0.000
Mo: 0.962 0.962 0.000
Mo: 0.759 0.259 0.500
Ca: 0.254 0.754 0.500

***

First-principles (GGA-PBE) data for a geometry-optimized CaMo2Se structure, as listed in the Alexandria database.

Computed properties:
Uncorrected energy in eV per cell: -27.1
Calculated density in g cm⁻³: 6.46
Total magnetization in μB/f.u.: 0.0
ΔE_f (raw) in eV per atom: 0.00

a = 3.348 Å, b = 3.348 Å, c = 7.132 Å
α = 90.00°, β = 90.00°, γ = 90.00°
Element x y z (fractional)
Se: 0.000 0.000 0.459
Mo: 0.500 0.500 0.233
Mo: 0.000 0.000 0.067
Ca: 0.500 0.500 0.741

***

First-principles (GGA-PBE) data for a geometry-optimized Ca2MoSe structure, as listed in the Alexandria database.

Computed properties:
Uncorrected energy in eV per cell: -17.3
Calculated density in g cm⁻³: 4.55
Total magnetization in μB/f.u.: 2.4
ΔE_f (raw) in eV per atom: 0.25

a = 5.454 Å, b = 5.454 Å, c = 5.454 Å
α = 129.90°, β = 129.90°, γ = 73.56°
Element x y z (fractional)
Mo: 0.250 0.750 0.500
Ca: 0.500 0.500 0.000
Se: 0.750 0.250 0.500
Ca: 0.000 0.000 0.000

***

First-principles (GGA-PBE) data for a geometry-optimized Ca2MoSe structure, as listed in the Alexandria database.

Computed properties:
Uncorrected energy in eV per cell: -17.8
Calculated density in g cm⁻³: 3.84
Total magnetization in μB/f.u.: 4.0
ΔE_f (raw) in eV per atom: 0.13

a = 4.177 Å, b = 4.177 Å, c = 6.318 Å
α = 90.00°, β = 90.00°, γ = 90.00°
Element x y z (fractional)
Mo: 0.000 0.000 0.449
Ca: 0.500 0.500 0.303
Ca: 0.000 0.000 0.937
Se: 0.500 0.500 0.811